Record 1
The following is a PBE-GGA calculation of crystalline Sr2MoH6Pd at its relaxed geometry, from OQMD.

Calculated values
Size of the total moment: 6.00 Bohr magnetons per cell
Energy relative to the lowest polymorph listed for this composition: 0.000 eV per atom

abc: 5.4629 5.4629 13.6102
angles: 90.00 90.00 120.00
Space group R3 (No. 146, hexagonal axes)
Asymmetric unit:
1 Sr 0.0000 0.0000 0.0000 (multiplicity 3)
2 Sr 0.0000 0.0000 0.4994 (multiplicity 3)
3 Mo 0.0000 0.0000 0.2509 (multiplicity 3)
4 H 0.1722 0.3451 0.3223 (multiplicity 9)
5 H 0.1761 0.8208 0.8262 (multiplicity 9)
6 Pd 0.0000 0.0000 0.7601 (multiplicity 3)

Record 2
The following is a PBE-GGA calculation of crystalline Ta2MoH2 at its relaxed geometry, from OQMD.

Calculated values
Size of the total moment: 0.00 Bohr magnetons per cell

abc: 3.220 3.220 11.113
angles: 90.00 90.00 90.00
Space group I4/mmm (No. 139)
Asymmetric unit:
1 Ta 0.000 0.000 0.143 (multiplicity 4)
2 Mo 0.000 0.000 0.500 (multiplicity 2)
3 H 0.000 0.500 0.250 (multiplicity 4)

Record 3
The following is a PBE-GGA calculation of crystalline Ta2MoH6 at its relaxed geometry, from OQMD.

Calculated values
Size of the total moment: 0.00 Bohr magnetons per cell

abc: 3.149 4.467 9.563
angles: 90.00 90.00 90.00
Space group Immm (No. 71)
Asymmetric unit:
1 Ta 0.000 0.000 0.166 (multiplicity 4)
2 Mo 0.000 0.000 0.500 (multiplicity 2)
3 H 0.000 0.244 0.334 (multiplicity 8)
4 H 0.000 0.254 0.000 (multiplicity 4)

Record 4
The following is a PBE-GGA calculation of crystalline NdH10S3N3O11 at its relaxed geometry, from OQMD.

Calculated values
Size of the total moment: 0.01 Bohr magnetons per cell

abc: 7.672 8.780 9.084
angles: 118.00 94.46 91.75
Space group P-1 (No. 2)
Asymmetric unit:
1 Nd 0.226 0.373 0.211 (multiplicity 2)
2 H 0.124 0.982 0.328 (multiplicity 2)
3 H 0.130 0.229 0.619 (multiplicity 2)
4 H 0.185 0.442 0.750 (multiplicity 2)
5 H 0.285 0.015 0.139 (multiplicity 2)
6 H 0.306 0.014 0.960 (multiplicity 2)
7 H 0.324 0.899 0.329 (multiplicity 2)
8 H 0.327 0.315 0.869 (multiplicity 2)
9 H 0.392 0.791 0.769 (multiplicity 2)
10 H 0.397 0.919 0.680 (multiplicity 2)
11 H 0.487 0.661 0.017 (multiplicity 2)
12 S 0.138 0.727 0.105 (multiplicity 2)
13 S 0.138 0.773 0.624 (multiplicity 2)
14 S 0.394 0.318 0.586 (multiplicity 2)
15 N 0.222 0.915 0.257 (multiplicity 2)
16 N 0.230 0.320 0.694 (multiplicity 2)
17 N 0.322 0.876 0.745 (multiplicity 2)
18 O 0.030 0.232 0.950 (multiplicity 2)
19 O 0.035 0.742 0.738 (multiplicity 2)
20 O 0.065 0.892 0.570 (multiplicity 2)
21 O 0.114 0.605 0.173 (multiplicity 2)
22 O 0.178 0.609 0.484 (multiplicity 2)
23 O 0.264 0.671 0.979 (multiplicity 2)
24 O 0.317 0.086 0.084 (multiplicity 2)
25 O 0.325 0.283 0.417 (multiplicity 2)
26 O 0.384 0.332 0.980 (multiplicity 2)
27 O 0.480 0.494 0.685 (multiplicity 2)
28 O 0.500 0.181 0.579 (multiplicity 2)

Record 5
The following is a PBE-GGA calculation of crystalline NiH2S4N4 at its relaxed geometry, from OQMD.

Calculated values
Size of the total moment: 0.02 Bohr magnetons per cell

abc: 8.317 12.349 13.098
angles: 90.00 90.00 90.00
Space group Pbca (No. 61)
Asymmetric unit:
1 Ni 0.023 0.073 0.124 (multiplicity 8)
2 H 0.044 0.637 0.643 (multiplicity 8)
3 H 0.206 0.036 0.610 (multiplicity 8)
4 S 0.084 0.241 0.128 (multiplicity 8)
5 S 0.122 0.633 0.122 (multiplicity 8)
6 S 0.221 0.109 0.860 (multiplicity 8)
7 S 0.225 0.613 0.390 (multiplicity 8)
8 N 0.035 0.072 0.858 (multiplicity 8)
9 N 0.178 0.504 0.874 (multiplicity 8)
10 N 0.215 0.742 0.125 (multiplicity 8)
11 N 0.243 0.039 0.119 (multiplicity 8)

Record 6
The following is a PBE-GGA calculation of crystalline NpHN at its relaxed geometry, from OQMD.

Calculated values
Size of the total moment: 12.00 Bohr magnetons per cell

abc: 5.240 5.240 5.240
angles: 90.00 90.00 90.00
Space group F-43m (No. 216)
Asymmetric unit:
1 Np 0.000 0.000 0.000 (multiplicity 4)
2 H 0.250 0.250 0.250 (multiplicity 4)
3 N 0.250 0.250 0.750 (multiplicity 4)

Record 7
The following is a PBE-GGA calculation of crystalline H4OsNO4 at its relaxed geometry, from OQMD.

Calculated values
Size of the total moment: 4.00 Bohr magnetons per cell

abc: 5.821 5.821 11.993
angles: 90.00 90.00 90.00
Space group I4_1/a (No. 88, origin choice 2)
Asymmetric unit:
1 H 0.049 0.115 0.176 (multiplicity 16)
2 Os 0.000 0.250 0.625 (multiplicity 4)
3 N 0.000 0.250 0.125 (multiplicity 4)
4 O 0.142 0.463 0.703 (multiplicity 16)

Record 8
The following is a PBE-GGA calculation of crystalline ZnP4H16N2O16 at its relaxed geometry, from OQMD.

abc: 6.875 7.104 7.599
angles: 79.71 69.82 86.96
Space group P-1 (No. 2)
Asymmetric unit:
1 Zn 0.000 0.000 0.000 (multiplicity 1)
2 P 0.157 0.241 0.270 (multiplicity 2)
3 P 0.267 0.709 0.731 (multiplicity 2)
4 H 0.107 0.202 0.657 (multiplicity 2)
5 H 0.119 0.339 0.800 (multiplicity 2)
6 H 0.251 0.480 0.026 (multiplicity 2)
7 H 0.323 0.900 0.175 (multiplicity 2)
8 H 0.357 0.661 0.191 (multiplicity 2)
9 H 0.404 0.225 0.442 (multiplicity 2)
10 H 0.436 0.187 0.913 (multiplicity 2)
11 H 0.439 0.778 0.326 (multiplicity 2)
12 N 0.421 0.788 0.194 (multiplicity 2)
13 O 0.039 0.233 0.787 (multiplicity 2)
14 O 0.088 0.728 0.635 (multiplicity 2)
15 O 0.194 0.113 0.120 (multiplicity 2)
16 O 0.225 0.158 0.437 (multiplicity 2)
17 O 0.238 0.510 0.853 (multiplicity 2)
18 O 0.261 0.439 0.170 (multiplicity 2)
19 O 0.265 0.872 0.834 (multiplicity 2)
20 O 0.461 0.716 0.548 (multiplicity 2)

Computed values of calculated total energy (unit: eV per atom) for the preceding records, in sequence: -4.204, -8.405, -6.146, -5.790, -5.483, -9.021, -6.015, -5.805.